Entry 1:
First-principles (GGA-PBE) data for BeHg2Pb2 after structural relaxation, as listed in Alexandria.

abc: 6.660 6.660 5.721
angles: 90.00 90.00 90.00
Atoms (fractional coordinates):
Pb  0.178  0.678  0.500
Hg  0.332  0.832  0.000
Pb  0.678  0.822  0.500
Hg  0.168  0.332  0.000
Pb  0.322  0.178  0.500
Hg  0.832  0.668  0.000
Be  0.000  0.000  0.000
Be  0.500  0.500  0.000
Pb  0.822  0.322  0.500
Hg  0.668  0.168  0.000

## Properties
E above lowest polymorph   0 meV/atom
DFT formation energy   0.29 eV per atom

=====

Entry 2:
First-principles (GGA-PBE) data for BeHg2Pb after structural relaxation, as listed in Alexandria.

abc: 3.548 5.443 5.446
angles: 61.78 90.00 90.00
Atoms (fractional coordinates):
Hg  0.000  0.939  0.939
Pb  0.500  0.250  0.250
Hg  0.000  0.561  0.561
Be  0.500  0.750  0.750

## Properties
E above lowest polymorph   28 meV/atom
DFT formation energy   0.30 eV per atom

=====

Entry 3:
First-principles (GGA-PBE) data for BeHg2Pb after structural relaxation, as listed in Alexandria.

abc: 7.826 7.112 7.446
angles: 154.49 146.42 47.43
Atoms (fractional coordinates):
Be  0.746  0.202  0.403
Hg  0.933  0.978  0.075
Hg  0.249  0.536  0.307
Pb  0.571  0.784  0.215

## Properties
E above lowest polymorph   8 meV/atom
DFT formation energy   0.28 eV per atom

=====

Entry 4:
First-principles (GGA-PBE) data for BeHg2Pb after structural relaxation, as listed in Alexandria.

abc: 3.315 3.315 8.241
angles: 90.00 90.00 90.00
Atoms (fractional coordinates):
Hg  0.000  0.000  0.932
Hg  0.500  0.500  0.226
Be  0.500  0.500  0.797
Pb  0.000  0.000  0.544

## Properties
E above lowest polymorph   93 meV/atom
DFT formation energy   0.36 eV per atom

=====

Entry 5:
First-principles (GGA-PBE) data for BeHg2Pb after structural relaxation, as listed in Alexandria.

abc: 5.501 5.501 5.501
angles: 130.96 130.96 71.87
Atoms (fractional coordinates):
Hg  0.250  0.750  0.500
Pb  0.500  0.500  0.000
Be  0.750  0.250  0.500
Hg  0.000  0.000  0.000

## Properties
E above lowest polymorph   247 meV/atom
DFT formation energy   0.52 eV per atom

=====

Entry 6:
First-principles (GGA-PBE) data for BeHg2Pb after structural relaxation, as listed in Alexandria.

abc: 5.446 5.446 3.597
angles: 90.00 90.00 117.34
Atoms (fractional coordinates):
Hg  0.000  0.000  0.000
Pb  0.500  0.000  0.500
Be  0.000  0.500  0.500
Hg  0.500  0.500  0.000

## Properties
E above lowest polymorph   251 meV/atom
DFT formation energy   0.52 eV per atom

=====

Entry 7:
First-principles (GGA-PBE) data for BeHg2Pb after structural relaxation, as listed in Alexandria.

abc: 5.103 5.103 5.103
angles: 60.00 60.00 60.00
Atoms (fractional coordinates):
Hg  0.000  0.000  0.000
Be  0.500  0.500  0.500
Pb  0.750  0.750  0.750
Hg  0.250  0.250  0.250

## Properties
E above lowest polymorph   291 meV/atom
DFT formation energy   0.56 eV per atom

=====

Entry 8:
First-principles (GGA-PBE) data for BeHg3Pb after structural relaxation, as listed in Alexandria.

abc: 4.923 4.923 4.923
angles: 90.00 90.00 90.00
Atoms (fractional coordinates):
Hg  0.000  0.000  0.500
Hg  0.000  0.500  0.000
Be  0.000  0.000  0.000
Pb  0.500  0.500  0.500
Hg  0.500  0.000  0.000

## Properties
E above lowest polymorph   0 meV/atom
DFT formation energy   0.23 eV per atom

=====

Entry 9:
First-principles (GGA-PBE) data for BeHgPb after structural relaxation, as listed in Alexandria.

abc: 5.890 6.426 3.522
angles: 90.01 89.99 89.33
Atoms (fractional coordinates):
Be  0.756  0.429  0.373
Pb  0.988  0.701  0.872
Hg  0.230  0.289  0.373
Hg  0.797  0.146  0.872
Be  0.507  0.439  0.873
Pb  0.485  0.796  0.373

## Properties
DFT formation energy   0.34 eV per atom

=====

Entry 10:
First-principles (GGA-PBE) data for BeHg2Pb after structural relaxation, as listed in Alexandria.

abc: 4.709 4.709 6.548
angles: 71.97 71.97 43.08
Atoms (fractional coordinates):
Hg  0.943  0.943  0.127
Hg  0.754  0.754  0.799
Be  0.234  0.234  0.107
Pb  0.569  0.569  0.467

## Properties
E above lowest polymorph   13 meV/atom
DFT formation energy   0.28 eV per atom

=====

Entry 11:
First-principles (GGA-PBE) data for BeHg2Pb after structural relaxation, as listed in Alexandria.

abc: 6.342 4.588 3.709
angles: 88.35 73.62 110.69
Atoms (fractional coordinates):
Pb  0.500  0.500  0.000
Hg  0.000  0.500  0.500
Hg  0.000  0.000  0.000
Be  0.500  0.000  0.500

## Properties
E above lowest polymorph   206 meV/atom
DFT formation energy   0.48 eV per atom

=====

Entry 12:
First-principles (GGA-PBE) data for BeHgPb after structural relaxation, as listed in Alexandria.

abc: 4.763 4.035 7.322
angles: 90.00 87.38 90.00
Atoms (fractional coordinates):
Pb  0.701  0.262  0.854
Be  0.579  0.761  0.132
Be  0.350  0.261  0.159
Pb  0.806  0.262  0.359
Hg  0.094  0.762  0.058
Hg  0.273  0.762  0.590

## Properties
DFT formation energy   0.28 eV per atom